Entry 1:
Entry from the Alexandria database: an optimized crystal structure of TaTlHg2 (PBE-GGA).

Cell: 3.1086 5.0396 5.6111 Å, 90.00 90.00 90.00°
With the nearest neighbours (Å) after each atom.
Element x y z (fractional)
Ta 0.0000 0.0000 0.0000  8 Hg 3.08-3.29, 2 Tl 3.08, 2 Ta 3.11
Tl 0.0000 0.5000 0.6830  8 Hg 3.06-3.35, 2 Ta 3.08, 2 Tl 3.11
Hg 0.5000 0.0000 0.4836  4 Hg 3.11-3.13, 4 Ta 3.13-3.29, 4 Tl 3.16
Hg 0.5000 0.5000 0.1538  4 Tl 3.06-3.35, 4 Ta 3.08, 4 Hg 3.11-3.13

Calculated values
The density of states at the Fermi level is 3.8 states/eV/f.u. Its crystal system is orthorhombic. The calculated formation energy is 529 meV per atom. As for the final energy: -0.117 hartree per atom.



Entry 2:
Entry from the Alexandria database: an optimized crystal structure of HoTmSiGe (PBE-GGA).

Cell: 3.8723 5.6735 5.6735 Å, 43.84 90.00 90.00°
With the nearest neighbours (Å) after each atom.
Element x y z (fractional)
Ho 0.0000 0.0000 0.0000  4 Si 2.93, 3 Ge 2.94-3.14
Tm 0.5000 0.2786 0.2786  3 Si 2.92-3.16, 4 Ge 2.93
Si 0.5000 0.5561 0.5561  2 Ge 2.60
Ge 0.0000 0.7203 0.7203  2 Si 2.60

Calculated values
The density of states at the Fermi level is 2.6 states/eV/f.u. Its crystal system is orthorhombic. The value obtained for the formation energy without anion corrections is -827 meV per atom. As for the final energy: -0.206 hartree per atom.



Entry 3:
Entry from the Alexandria database: an optimized crystal structure of Na2AlGe7O16 (PBE-GGA).

Cell: 7.5576 8.0440 8.0478 Å, 115.83 100.94 106.50°
With the nearest neighbours (Å) after each atom.
Element x y z (fractional)
Na 0.0000 0.0000 0.0000  5 O 2.39-2.63
Na 0.2422 0.5221 0.5001  4 O 2.39-2.65
Al 0.3282 0.4209 0.0956  4 O 1.75-1.78
Ge 0.3490 0.0803 0.4436  4 O 1.77-1.80
Ge 0.4338 0.0459 0.8267  4 O 1.74-1.80
Ge 0.4694 0.8111 0.0509  4 O 1.73-1.80
Ge 0.7559 0.6864 0.4543  4 O 1.74-1.80
Ge 0.7981 0.4639 0.6894  4 O 1.78-1.81
Ge 0.8931 0.4284 0.0752  4 O 1.76-1.79
Ge 0.8982 0.0774 0.4102  4 O 1.78-1.80
O 0.0993 0.3765 0.1335  1 Ge 1.76, 1 Al 1.78
O 0.1339 0.1274 0.3795  2 Ge 1.80
O 0.3032 0.1702 0.9493  1 Ge 1.74, 1 Al 1.77
O 0.3365 0.9381 0.5636  2 Ge 1.78-1.80
O 0.3656 0.9552 0.2080  2 Ge 1.77-1.78
O 0.3833 0.5581 0.9797  1 Ge 1.73, 1 Al 1.75
O 0.3919 0.8148 0.8276  2 Ge 1.80
O 0.4996 0.5484 0.3415  1 Ge 1.74, 1 Al 1.77
O 0.5371 0.3312 0.6085  2 Ge 1.78
O 0.6951 0.1828 0.9253  2 Ge 1.77-1.78
O 0.7361 0.9387 0.1548  2 Ge 1.80
O 0.8344 0.9521 0.5399  2 Ge 1.78-1.80
O 0.8429 0.6933 0.6828  2 Ge 1.80-1.81
O 0.8941 0.5883 0.3122  2 Ge 1.77-1.78
O 0.9138 0.5637 0.9479  2 Ge 1.79
O 0.9183 0.3332 0.5405  2 Ge 1.80

Calculated values
The density of states at the Fermi level is 0.8 states/eV/f.u. Its crystal system is triclinic. The value obtained for the formation energy without anion corrections is -1772 meV per atom. As for the final energy: -0.232 hartree per atom.



Entry 4:
Entry from the Alexandria database: an optimized crystal structure of Sm3Ag2Rh3 (PBE-GGA).

Cell: 8.4149 8.4149 5.6455 Å, 90.00 90.00 120.00°
With the nearest neighbours (Å) after each atom.
Element x y z (fractional)
Sm 0.0000 0.2885 0.2500  5 Rh 2.80-2.92
Sm 0.0000 0.7115 0.7500  5 Rh 2.80-2.92
Sm 0.2885 0.0000 0.2500  5 Rh 2.80-2.92
Sm 0.2885 0.2885 0.7500  5 Rh 2.80-2.92
Sm 0.7115 0.0000 0.7500  5 Rh 2.80-2.92
Sm 0.7115 0.7115 0.2500  5 Rh 2.80-2.92
Ag 0.3333 0.6667 0.0000  2 Ag 2.82, 6 Rh 2.99
Ag 0.3333 0.6667 0.5000  2 Ag 2.82, 6 Rh 2.99
Ag 0.6667 0.3333 0.0000  2 Ag 2.82, 6 Rh 2.99
Ag 0.6667 0.3333 0.5000  2 Ag 2.82, 6 Rh 2.99
Rh 0.0000 0.3790 0.7500  5 Sm 2.80-2.92, 4 Ag 2.99
Rh 0.0000 0.6210 0.2500  5 Sm 2.80-2.92, 4 Ag 2.99
Rh 0.3790 0.0000 0.7500  5 Sm 2.80-2.92, 4 Ag 2.99
Rh 0.3790 0.3790 0.2500  5 Sm 2.80-2.92, 4 Ag 2.99
Rh 0.6210 0.0000 0.2500  5 Sm 2.80-2.92, 4 Ag 2.99
Rh 0.6210 0.6210 0.7500  5 Sm 2.80-2.92, 4 Ag 2.99

Calculated values
The density of states at the Fermi level is 4.4 states/eV/f.u. Its crystal system is hexagonal. The calculated formation energy is -464 meV per atom. As for the final energy: -0.210 hartree per atom.



Entry 5:
Entry from the Alexandria database: an optimized crystal structure of FeSn3H (PBE-GGA).

Cell: 4.5475 4.5475 4.5475 Å, 90.00 90.00 90.00°
With the nearest neighbours (Å) after each atom.
Element x y z (fractional)
Fe 0.0000 0.0000 0.0000  12 Sn 3.22
Sn 0.0000 0.5000 0.5000  2 H 2.27
Sn 0.5000 0.0000 0.5000  2 H 2.27
Sn 0.5000 0.5000 0.0000  2 H 2.27
H 0.5000 0.5000 0.5000  6 Sn 2.27

Calculated values
The density of states at the Fermi level is 3.8 states/eV/f.u. Its crystal system is cubic. The calculation puts the energy above the lowest structure with this stoichiometry at 174 meV per atom. As for the final energy: -0.154 hartree per atom.



Entry 6:
Entry from the Alexandria database: an optimized crystal structure of LiTb2Rh3O8 (PBE-GGA).

Cell: 6.4411 6.4411 6.4411 Å, 59.11 59.11 59.11°
With the nearest neighbours (Å) after each atom.
Element x y z (fractional)
Li 0.0000 0.0000 0.0000  1 O 1.90
Tb 0.3365 0.3365 0.3365  6 O 2.28-2.31
Tb 0.8235 0.8235 0.8235  6 O 2.20-2.37
Rh 0.3508 0.3508 0.8435  6 O 2.05-2.16
Rh 0.3508 0.8435 0.3508  6 O 2.05-2.16
Rh 0.8435 0.3508 0.3508  6 O 2.05-2.16
O 0.0843 0.0843 0.5865  2 Rh 2.16, 1 Li 2.24, 2 Tb 2.28-2.37
O 0.0843 0.5865 0.0843  2 Rh 2.16, 1 Li 2.24, 2 Tb 2.28-2.37
O 0.1197 0.1197 0.1197  1 Li 1.90, 3 Rh 2.11
O 0.1478 0.5869 0.5869  2 Rh 2.09, 2 Tb 2.20-2.31
O 0.5762 0.5762 0.5762  3 Rh 2.05
O 0.5865 0.0843 0.0843  2 Rh 2.16, 1 Li 2.24, 2 Tb 2.28-2.37
O 0.5869 0.1478 0.5869  2 Rh 2.09, 2 Tb 2.20-2.31
O 0.5869 0.5869 0.1478  2 Rh 2.09, 2 Tb 2.20-2.31

Calculated values
Its crystal system is trigonal. The value obtained for the formation energy without anion corrections is -1836 meV per atom. As for the final energy: -0.259 hartree per atom.



Entry 7:
Entry from the Alexandria database: an optimized crystal structure of KNaMg2Sn (PBE-GGA).

Cell: 5.9255 5.9255 5.5035 Å, 90.00 90.00 90.00°
With the nearest neighbours (Å) after each atom.
Element x y z (fractional)
K 0.0000 0.0000 0.0000  2 Na 2.75, 4 Mg 2.96
Na 0.0000 0.0000 0.5000  2 K 2.75
Mg 0.0000 0.5000 0.0000  2 K 2.96
Mg 0.5000 0.0000 0.0000  2 K 2.96
Sn 0.5000 0.5000 0.5000  8 Mg 4.04, 4 Na 4.19

Calculated values
The density of states at the Fermi level is 3.9 states/eV/f.u. Its crystal system is tetragonal. The calculation puts the energy above the lowest structure with this stoichiometry at 766 meV per atom. The calculated formation energy is 864 meV per atom. As for the final energy: -0.039 hartree per atom.



Entry 8:
Entry from the Alexandria database: an optimized crystal structure of LaPm5Y (PBE-GGA).

Cell: 8.0091 8.0091 5.8789 Å, 111.46 111.46 66.13°
With the nearest neighbours (Å) after each atom.
Element x y z (fractional)
La 0.0000 0.0000 0.0000  6 Pm 2.82-3.00
Pm 0.0000 0.0000 0.5000  2 La 2.94
Pm 0.2482 0.2482 0.2479  1 La 3.00, 1 Y 3.04
Pm 0.3227 0.6773 0.0000  1 La 2.82, 1 Pm 3.10
Pm 0.6773 0.3227 0.0000  1 La 2.82, 1 Pm 3.10
Pm 0.7518 0.7518 0.7521  1 La 3.00, 1 Y 3.04
Y 0.5000 0.5000 0.5000  6 Pm 3.04-3.32

Calculated values
The density of states at the Fermi level is 13.1 states/eV/f.u. Its crystal system is monoclinic. The calculation puts the energy above the lowest structure with this stoichiometry at 0 meV per atom. The calculated formation energy is 981 meV per atom. As for the final energy: -0.148 hartree per atom.